[1]
Compound: SnPPd
Source: the Alexandria database
Functional: GGA-PBE
Structure: optimized geometry

The structure belongs to space group P3m1 (No. 156); the cell edges are 4.1112, 4.1112 and 4.1704 Å and the angles 90.00°, 90.00° and 120.00°. The distinct sites, in fractional coordinates, are Sn at (0.0000, 0.0000, 0.0000), P at (0.3333, 0.6667, 0.4983) and Pd at (0.6667, 0.3333, 0.4857).

The value obtained for the formation enthalpy at 0 K is -0.152 eV per atom. For the density of states at the Fermi level, the calculation gives 1.6 states/eV per cell.



[2]
Compound: Sn2P6Pd21
Source: the Alexandria database
Functional: GGA-PBE
Structure: optimized geometry

The structure belongs to space group Fm-3m (No. 225); the cell edges are 12.1507, 12.1507 and 12.1507 Å and the angles 90.00°, 90.00° and 90.00°. The distinct sites, in fractional coordinates, are Sn at (0.2500, 0.2500, 0.2500), P at (0.0000, 0.0000, 0.2379), Pd at (0.0000, 0.0000, 0.5000), Pd at (0.0000, 0.1718, 0.3282) and Pd at (0.1177, 0.1177, 0.1177).

The value obtained for the formation enthalpy at 0 K is -0.491 eV per atom. For the density of states at the Fermi level, the calculation gives 33.5 states/eV per cell.



[3]
Compound: Sn6PPd12
Source: the Alexandria database
Functional: GGA-PBE
Structure: optimized geometry

The structure belongs to space group R-3 (No. 148, hexagonal axes); the cell edges are 11.3375, 11.3375 and 9.6195 Å and the angles 90.00°, 90.00° and 120.00°. The distinct sites, in fractional coordinates, are Sn at (0.0254, 0.7336, 0.1268), P at (0.0000, 0.0000, 0.5000), Pd at (0.0207, 0.8603, 0.8794) and Pd at (0.0818, 0.8849, 0.3743).

The value obtained for the formation enthalpy at 0 K is -0.411 eV per atom. For the density of states at the Fermi level, the calculation gives 25.4 states/eV per cell.